This record from the Alexandria database describes CsAl3Os after structural relaxation. The functional is PBE.

Values from the calculation:
As for the energy above the most stable polymorph in this dataset: 14.70 eV/f.u. For the formation energy, the calculation gives 2.8587 eV per atom.

a = 5.6189 Å, b = 5.6189 Å, c = 5.6189 Å
α = 90.00°, β = 90.00°, γ = 90.00°
Last column: magnetic moment on the atom in μB.
Fractional coordinates of all 5 atoms:
1 Cs 0.0000 0.0000 0.0000  -0.03
2 Os 0.5000 0.5000 0.5000  2.58
3 Al 0.0000 0.5000 0.0000  -0.02
4 Al 0.0000 0.0000 0.5000  -0.01
5 Al 0.5000 0.0000 0.0000  -0.02


This record from the Alexandria database describes Ti7Ni2Sn after structural relaxation. The functional is PBE.

Values from the calculation:
For the formation energy, the calculation gives 0.2620 eV per atom.

a = 4.2938 Å, b = 7.1053 Å, c = 7.1053 Å
α = 116.09°, β = 90.00°, γ = 90.00°
Last column: magnetic moment on the atom in μB.
Fractional coordinates of all 10 atoms:
1 Ti 0.0000 0.7523 0.2477  0.27
2 Ti 0.0000 0.2477 0.7523  0.27
3 Ti 0.5000 0.0638 0.3125  0.11
4 Ti 0.5000 0.9362 0.6875  0.11
5 Ti 0.5000 0.3125 0.0638  0.11
6 Ti 0.5000 0.6875 0.9362  0.11
7 Ti 0.5000 0.5000 0.5000  0.09
8 Ni 0.5000 0.6919 0.3081  0.01
9 Ni 0.5000 0.3081 0.6919  0.01
10 Sn 0.0000 0.0000 0.0000  -0.01


This record from the Alexandria database describes PuHfPaGa after structural relaxation. The functional is PBE.

Values from the calculation:
For the formation energy, the calculation gives -0.0063 eV per atom.

a = 4.9637 Å, b = 4.9637 Å, c = 4.9637 Å
α = 60.00°, β = 60.00°, γ = 60.00°
Last column: magnetic moment on the atom in μB.
Fractional coordinates of all 4 atoms:
1 Pa 0.7500 0.7500 0.7500  0.78
2 Hf 0.5000 0.5000 0.5000  -0.08
3 Ga 0.2500 0.2500 0.2500  -0.01
4 Pu 0.0000 0.0000 0.0000  5.18


This record from the Alexandria database describes Zn12GaAu6 after structural relaxation. The functional is PBE.

Values from the calculation:
As for the energy above the most stable polymorph in this dataset: 0.39 eV/f.u. For the formation energy, the calculation gives -0.1180 eV per atom.

a = 7.3349 Å, b = 7.3349 Å, c = 7.3349 Å
α = 105.93°, β = 105.93°, γ = 105.93°
Fractional coordinates of all 19 atoms:
1 Zn 0.8884 0.1116 0.5000
2 Zn 0.8909 0.6440 0.6440
3 Zn 0.6440 0.6440 0.8909
4 Zn 0.3560 0.1091 0.3560
5 Zn 0.3560 0.3560 0.1091
6 Zn 0.1091 0.3560 0.3560
7 Zn 0.1116 0.5000 0.8884
8 Zn 0.5000 0.8884 0.1116
9 Zn 0.1116 0.8884 0.5000
10 Zn 0.8884 0.5000 0.1116
11 Zn 0.5000 0.1116 0.8884
12 Zn 0.6440 0.8909 0.6440
13 Ga 0.0000 0.0000 0.0000
14 Au 0.6976 0.2926 0.2926
15 Au 0.2926 0.2926 0.6976
16 Au 0.2926 0.6976 0.2926
17 Au 0.7074 0.7074 0.3024
18 Au 0.3024 0.7074 0.7074
19 Au 0.7074 0.3024 0.7074